<w>
Entry from Alexandria via LeMat-Bulk: a relaxed LiLa3Hf crystal (GGA-PBE).

The space group is No. 221. As for the magnetization: 0.0 μB/cell.

Unit cell a=5.8696 b=5.8696 c=5.8696 alpha=90.00 beta=90.00 gamma=90.00
Fractional coordinates of all 5 atoms:
Li  0.0000  0.0000  0.0000
La  0.0000  0.5000  0.5000
La  0.5000  0.0000  0.5000
La  0.5000  0.5000  0.0000
Hf  0.5000  0.5000  0.5000

=====

<x>
Entry from Alexandria via LeMat-Bulk: a relaxed LiLa3Hf crystal (GGA-PBE).

The space group is No. 221. As for the magnetization: 0.0 μB/cell.

Unit cell a=5.3679 b=5.3679 c=5.3679 alpha=90.00 beta=90.00 gamma=90.00
Fractional coordinates of all 5 atoms:
Li  0.0000  0.0000  0.0000
La  0.0000  0.0000  0.5000
La  0.0000  0.5000  0.0000
La  0.5000  0.0000  0.0000
Hf  0.5000  0.5000  0.5000

=====

Need the numbers? Relative energies in kJ/mol of atoms: <w> 0.0; <x> 17.6.